1.
CsBeNbPt after structural relaxation. Source: the Open Quantum Materials Database, functional GGA-PBE. Values from VASP.

* space-group type: No. 216
* M_tot: 0.1 Bohr magnetons per cell
* energy: -15.246 eV for the cell shown
* E above lowest polymorph: 298 meV per atom
* mass density: 9398 kg/m3

Structure (Quantum ESPRESSO input):
```
&SYSTEM
  ibrav = 0, nat = 4, ntyp = 4
/
ATOMIC_SPECIES
Cs 132.91 Cs.upf
Be 9.01 Be.upf
Nb 92.91 Nb.upf
Pt 195.08 Pt.upf
ATOMIC_POSITIONS crystal
Cs 0.0000 0.0000 0.0000
Be 0.5000 0.5000 0.5000
Nb 0.2500 0.2500 0.2500
Pt 0.7500 0.7500 0.7500
CELL_PARAMETERS angstrom
0.0000 3.3614 3.3614
3.3614 0.0000 3.3614
3.3614 3.3614 0.0000
```



2.
Pr2DyCd3Ir2Pt after structural relaxation. Source: the Open Quantum Materials Database, functional GGA-PBE. Values from VASP.

* space-group type: No. 38
* M_tot: 0.0 Bohr magnetons per cell
* energy: -46.225 eV for the cell shown
* energy relative to the elements: -625 meV per atom
* mass density: 11199 kg/m3

Structure (Quantum ESPRESSO input):
```
&SYSTEM
  ibrav = 0, nat = 9, ntyp = 5
/
ATOMIC_SPECIES
Pr 140.91 Pr.upf
Dy 162.50 Dy.upf
Cd 112.41 Cd.upf
Ir 192.22 Ir.upf
Pt 195.08 Pt.upf
ATOMIC_POSITIONS crystal
Pr 0.0000 0.2051 0.7949
Pr 0.0000 0.7949 0.2051
Dy 0.0000 0.3881 0.3881
Cd 0.5000 0.0492 0.0492
Cd 0.5000 0.5403 0.7942
Cd 0.5000 0.7942 0.5403
Ir 0.5000 0.1359 0.4588
Ir 0.5000 0.4588 0.1359
Pt 0.0000 0.7885 0.7885
CELL_PARAMETERS angstrom
4.0460 0.0000 0.0000
0.0000 6.5608 3.8011
0.0000 -6.5608 3.8011
```



3.
BeNbZnCu after structural relaxation. Source: the Open Quantum Materials Database, functional GGA-PBE. Values from VASP.

* space-group type: No. 216
* M_tot: 0.0 Bohr magnetons per cell
* energy: -18.212 eV for the cell shown
* E above lowest polymorph: 46 meV per atom
* mass density: 7259 kg/m3

Structure (Quantum ESPRESSO input):
```
&SYSTEM
  ibrav = 0, nat = 4, ntyp = 4
/
ATOMIC_SPECIES
Be 9.01 Be.upf
Nb 92.91 Nb.upf
Zn 65.41 Zn.upf
Cu 63.55 Cu.upf
ATOMIC_POSITIONS crystal
Be 0.0000 0.0000 0.0000
Nb 0.2500 0.2500 0.2500
Zn 0.5000 0.5000 0.5000
Cu 0.7500 0.7500 0.7500
CELL_PARAMETERS angstrom
0.0000 2.9778 2.9778
2.9778 0.0000 2.9778
2.9778 2.9778 0.0000
```



4.
ZnCu after structural relaxation. Source: the Open Quantum Materials Database, functional GGA-PBE. Values from VASP.

* space-group type: No. 227
* energy: -10.189 eV for the cell shown
* energy relative to the elements: -56 meV per atom
* mass density: 8277 kg/m3

Structure (Quantum ESPRESSO input):
```
&SYSTEM
  ibrav = 0, nat = 4, ntyp = 2
/
ATOMIC_SPECIES
Zn 65.41 Zn.upf
Cu 63.55 Cu.upf
ATOMIC_POSITIONS crystal
Zn 0.1250 0.1250 0.1250
Zn 0.8750 0.8750 0.8750
Cu 0.3750 0.3750 0.3750
Cu 0.6250 0.6250 0.6250
CELL_PARAMETERS angstrom
0.0000 2.9576 2.9576
2.9576 0.0000 2.9576
2.9576 2.9576 0.0000
```